(1)
# Hf2Fe2Co5Ge | the Alexandria database | GGA-PBE | optimized geometry
# * total DFT energy (no corrections): -7.864 eV per atom
# * D(E_F): 1.05 states/eV per atom
# * crystal system: tetragonal
# * ΔE_f: -166.6 meV/atom
# * size of the total moment: 15.55 μB/cell
data_Hf2Fe2Co5Ge
_chemical_formula_sum 'Hf4 Fe4 Co10 Ge2'
_cell_length_a 8.677
_cell_length_b 8.677
_cell_length_c 3.533
_cell_angle_alpha 90.00
_cell_angle_beta 90.00
_cell_angle_gamma 90.00
_symmetry_space_group_name_H-M 'P 4/m b m'
_symmetry_Int_Tables_number 127
_symmetry_space_group_name_Hall '-P 4 2ab'
loop_
_atom_site_label
_atom_site_fract_x
_atom_site_fract_y
_atom_site_fract_z
Hf1 0.177 0.323 0.000
Fe1 0.122 0.622 0.000
Co1 0.000 0.500 0.500
Co2 0.062 0.793 0.500
Ge1 0.000 0.000 0.000

(2)
# Li2NiP | the Alexandria database | GGA-PBE | optimized geometry
# * total DFT energy (no corrections): -4.003 eV per atom
# * D(E_F): 0.72 states/eV per atom
# * crystal system: tetragonal
# * ΔE_f: -247.9 meV/atom
# * size of the total moment: 0.00 μB/cell
data_Li2NiP
_chemical_formula_sum 'Li8 Ni4 P4'
_cell_length_a 9.549
_cell_length_b 9.549
_cell_length_c 4.132
_cell_angle_alpha 90.00
_cell_angle_beta 90.00
_cell_angle_gamma 90.00
_symmetry_space_group_name_H-M 'I -4 2 d'
_symmetry_Int_Tables_number 122
_symmetry_space_group_name_Hall 'I -4 2bw'
loop_
_atom_site_label
_atom_site_fract_x
_atom_site_fract_y
_atom_site_fract_z
Li1 0.007 0.750 0.125
Ni1 0.000 0.000 0.500
P1 0.000 0.000 0.000